7
Lattice="5.193 -1.914 0.000 5.193 1.914 0.000 -4.166 0.000 5.170" Properties=species:S:1:pos:R:3 comment="GdZrFe2Si2C (PBE, relaxed)" sg=Cm vol_a3_per_cell=103 final_energy_ev_per_atom=-7.7934 pbc="T T T"
C 3.131 0.000 2.494
Fe 1.386 0.000 2.103
Fe 4.823 0.000 3.072
Gd -2.663 0.000 4.115
Si 5.964 0.000 1.079
Si 0.234 0.000 4.148
Zr 8.892 0.000 1.084